(1)
{"formula": "AgHg2Se", "functional": "PBE-GGA", "state": "relaxed", "sg": "Pmm2, No. 25", "crystal_system": "orthorhombic", "total_energy_ev_per_cell": -6.8, "raw_formation_energy_mev_per_atom": 40, "lattice": [[3.836, 0.000, 0.000], [0.000, 3.849, 0.000], [0.000, 0.000, 7.154]], "species": ["Ag", "Hg", "Hg", "Se"], "frac_coords": [[0.000, 0.000, 0.000], [0.000, 0.000, 0.406], [0.500, 0.500, 0.600], [0.500, 0.500, 0.992]]}



(2)
{"formula": "Ag2HgSe2", "functional": "PBE-GGA", "state": "relaxed", "sg": "P-4m2, No. 115", "crystal_system": "tetragonal", "total_energy_ev_per_cell": -13.0, "raw_formation_energy_mev_per_atom": -2, "lattice": [[4.709, 0.000, 0.000], [0.000, 4.709, 0.000], [0.000, 0.000, 7.291]], "species": ["Ag", "Ag", "Hg", "Se", "Se"], "frac_coords": [[0.000, 0.000, 0.192], [0.000, 0.000, 0.808], [0.500, 0.500, 0.500], [0.000, 0.500, 0.699], [0.500, 0.000, 0.301]]}



(3)
{"formula": "AgHgSe", "functional": "PBE-GGA", "state": "relaxed", "sg": "Fmm2, No. 42", "polymorph_energy_mev_per_atom": 282, "crystal_system": "orthorhombic", "total_energy_ev_per_cell": -6.1, "raw_formation_energy_mev_per_atom": 186, "lattice": [[0.000, 2.449, 6.725], [2.009, 0.000, 6.725], [2.009, 2.449, 0.000]], "species": ["Ag", "Hg", "Se"], "frac_coords": [[0.000, 0.000, 0.000], [0.665, 0.665, 0.335], [0.356, 0.356, 0.644]]}



(4)
{"formula": "Ag2Hg2Se3", "functional": "PBE-GGA", "state": "relaxed", "sg": "P2_1/c, No. 14", "crystal_system": "monoclinic", "total_energy_ev_per_cell": -33.9, "raw_formation_energy_mev_per_atom": -28, "lattice": [[7.318, 0.000, 0.000], [0.000, 7.303, 0.000], [-2.734, 0.000, 7.159]], "species": ["Ag", "Ag", "Ag", "Ag", "Hg", "Hg", "Hg", "Hg", "Se", "Se", "Se", "Se", "Se", "Se"], "frac_coords": [[0.171, 0.134, 0.202], [0.171, 0.366, 0.702], [0.829, 0.634, 0.298], [0.829, 0.866, 0.798], [0.436, 0.662, 0.315], [0.436, 0.838, 0.815], [0.564, 0.162, 0.185], [0.564, 0.338, 0.685], [0.162, 0.047, 0.859], [0.162, 0.453, 0.359], [0.500, 0.000, 0.500], [0.500, 0.500, 0.000], [0.838, 0.547, 0.641], [0.838, 0.953, 0.141]]}



(5)
{"formula": "AgHg2Se", "functional": "PBE-GGA", "state": "relaxed", "sg": "P4/mmm, No. 123", "crystal_system": "tetragonal", "total_energy_ev_per_cell": -6.5, "raw_formation_energy_mev_per_atom": 118, "lattice": [[3.977, 0.000, 0.000], [0.000, 3.977, 0.000], [0.000, 0.000, 6.301]], "species": ["Ag", "Hg", "Hg", "Se"], "frac_coords": [[0.000, 0.000, 0.000], [0.000, 0.500, 0.500], [0.500, 0.000, 0.500], [0.500, 0.500, 0.000]]}



(6)
{"formula": "AgHg2Se", "functional": "PBE-GGA", "state": "relaxed", "sg": "Cmmm, No. 65", "crystal_system": "orthorhombic", "total_energy_ev_per_cell": -6.7, "raw_formation_energy_mev_per_atom": 71, "lattice": [[2.926, -3.162, 0.000], [2.926, 3.162, 0.000], [0.000, 0.000, 5.121]], "species": ["Ag", "Hg", "Hg", "Se"], "frac_coords": [[0.000, 0.000, 0.000], [0.243, 0.757, 0.500], [0.757, 0.243, 0.500], [0.500, 0.500, 0.000]]}



(7)
{"formula": "Ag2Hg2Se", "functional": "PBE-GGA", "state": "relaxed", "sg": "P4/mbm, No. 127", "polymorph_energy_mev_per_atom": 119, "crystal_system": "tetragonal", "total_energy_ev_per_cell": -17.4, "raw_formation_energy_mev_per_atom": 214, "lattice": [[8.018, 0.000, 0.000], [0.000, 8.018, 0.000], [0.000, 0.000, 3.455]], "species": ["Ag", "Ag", "Ag", "Ag", "Hg", "Hg", "Hg", "Hg", "Se", "Se"], "frac_coords": [[0.126, 0.374, 0.000], [0.374, 0.874, 0.000], [0.626, 0.126, 0.000], [0.874, 0.626, 0.000], [0.171, 0.671, 0.500], [0.329, 0.171, 0.500], [0.671, 0.829, 0.500], [0.829, 0.329, 0.500], [0.000, 0.000, 0.500], [0.500, 0.500, 0.500]]}



(8)
{"formula": "Ag3Hg2Se4", "functional": "PBE-GGA", "state": "relaxed", "sg": "Cmce, No. 64", "crystal_system": "orthorhombic", "total_energy_ev_per_cell": -46.7, "raw_formation_energy_mev_per_atom": -28, "lattice": [[3.687, -12.210, 0.000], [3.687, 12.210, 0.000], [0.000, 0.000, 5.017]], "species": ["Ag", "Ag", "Ag", "Ag", "Ag", "Ag", "Hg", "Hg", "Hg", "Hg", "Se", "Se", "Se", "Se", "Se", "Se", "Se", "Se"], "frac_coords": [[0.000, 0.000, 0.000], [0.033, 0.467, 0.250], [0.467, 0.033, 0.750], [0.500, 0.500, 0.500], [0.533, 0.967, 0.250], [0.967, 0.533, 0.750], [0.120, 0.880, 0.476], [0.380, 0.620, 0.976], [0.620, 0.380, 0.024], [0.880, 0.120, 0.524], [0.192, 0.308, 0.250], [0.195, 0.805, 0.104], [0.305, 0.695, 0.604], [0.308, 0.192, 0.750], [0.692, 0.808, 0.250], [0.695, 0.305, 0.396], [0.805, 0.195, 0.896], [0.808, 0.692, 0.750]]}